Record 1
Crystalline Sr3LiNb2O9 at its relaxed geometry. Source: Alexandria, functional PBE-GGA.

```
data_Sr3LiNb2O9
_chemical_formula_sum 'Sr3 Li1 Nb2 O9'
_symmetry_space_group_name_H-M 'P -3 m 1'
_symmetry_Int_Tables_number 164
_symmetry_space_group_name_Hall '-P 3 2"'
_cell_length_a 5.7332
_cell_length_b 5.7332
_cell_length_c 7.0780
_cell_angle_alpha 90.00
_cell_angle_beta 90.00
_cell_angle_gamma 120.00
loop_
_atom_site_label
_atom_site_type_symbol
_atom_site_fract_x
_atom_site_fract_y
_atom_site_fract_z
Sr1 Sr 0.0000 0.0000 0.0000
Sr2 Sr 0.3333 0.6667 0.6614
Li1 Li 0.0000 0.0000 0.5000
Nb1 Nb 0.3333 0.6667 0.1833
O1 O 0.0000 0.5000 0.0000
O2 O 0.1689 0.3379 0.3270
```

## Properties
- Magnetic moment: 0.499 μB/f.u.
- Uncorrected formation energy: -39.25 eV/f.u.
- Fermi-level density of states: 0.744 states/eV per atom
- Raw total energy: -110.98 eV per cell

=====

Record 2
Crystalline Pm3YSi3 at its relaxed geometry. Source: Alexandria, functional PBE-GGA.

```
data_Pm3YSi3
_chemical_formula_sum 'Pm18 Y6 Si18'
_symmetry_space_group_name_H-M 'R -3'
_symmetry_Int_Tables_number 148
_symmetry_space_group_name_Hall '-R 3'
_cell_length_a 8.7855
_cell_length_b 8.7855
_cell_length_c 17.7298
_cell_angle_alpha 90.00
_cell_angle_beta 90.00
_cell_angle_gamma 120.00
loop_
_atom_site_label
_atom_site_type_symbol
_atom_site_fract_x
_atom_site_fract_y
_atom_site_fract_z
Pm1 Pm 0.0113 0.7289 0.0948
Y1 Y 0.0000 0.0000 0.3308
Si1 Si 0.0055 0.6267 0.9292
```

## Properties
- Magnetic moment: 0.000 μB/f.u.
- Uncorrected formation energy: -3.78 eV/f.u.
- Fermi-level density of states: 0.610 states/eV per atom
- Raw total energy: -244.62 eV per cell

=====

Record 3
Crystalline PmLuTc4 at its relaxed geometry. Source: Alexandria, functional PBE-GGA.

```
data_PmLuTc4
_chemical_formula_sum 'Pm4 Lu4 Tc16'
_symmetry_space_group_name_H-M 'F -4 3 m'
_symmetry_Int_Tables_number 216
_symmetry_space_group_name_Hall 'F -4 2 3'
_cell_length_a 7.658
_cell_length_b 7.658
_cell_length_c 7.658
_cell_angle_alpha 90.00
_cell_angle_beta 90.00
_cell_angle_gamma 90.00
loop_
_atom_site_label
_atom_site_type_symbol
_atom_site_fract_x
_atom_site_fract_y
_atom_site_fract_z
Pm1 Pm 0.000 0.000 0.000
Lu1 Lu 0.250 0.250 0.250
Tc1 Tc 0.125 0.125 0.625
```

## Properties
- Magnetic moment: 0.039 μB/f.u.
- Energy relative to the elements: -95.1 meV/atom
- Fermi-level density of states: 1.497 states/eV per atom
- Raw total energy: -205.23 eV per cell

=====

Record 4
Crystalline TbGa4Cu6 at its relaxed geometry. Source: Alexandria, functional PBE-GGA.

```
data_TbGa4Cu6
_chemical_formula_sum 'Tb1 Ga4 Cu6'
_symmetry_space_group_name_H-M 'P -6 m 2'
_symmetry_Int_Tables_number 187
_symmetry_space_group_name_Hall 'P -6 2'
_cell_length_a 6.9048
_cell_length_b 6.9048
_cell_length_c 4.0389
_cell_angle_alpha 90.00
_cell_angle_beta 90.00
_cell_angle_gamma 120.00
loop_
_atom_site_label
_atom_site_type_symbol
_atom_site_fract_x
_atom_site_fract_y
_atom_site_fract_z
Tb1 Tb 0.0000 0.0000 0.0000
Ga1 Ga 0.3333 0.6667 0.0000
Ga2 Ga 0.3904 0.1952 0.5000
Cu1 Cu 0.2092 0.4184 0.5000
Cu2 Cu 0.5400 0.0800 0.0000
```

## Properties
- Magnetic moment: 0.000 μB/f.u.
- Energy relative to the elements: -241.7 meV/atom
- Fermi-level density of states: 0.314 states/eV per atom
- Raw total energy: -43.97 eV per cell

=====

Record 5
Crystalline Pm2Nd2Sn at its relaxed geometry. Source: Alexandria, functional PBE-GGA.

```
data_Pm2Nd2Sn
_chemical_formula_sum 'Pm4 Nd4 Sn2'
_symmetry_space_group_name_H-M 'I 4/m m m'
_symmetry_Int_Tables_number 139
_symmetry_space_group_name_Hall '-I 4 2'
_cell_length_a 4.417
_cell_length_b 4.417
_cell_length_c 17.759
_cell_angle_alpha 90.00
_cell_angle_beta 90.00
_cell_angle_gamma 90.00
loop_
_atom_site_label
_atom_site_type_symbol
_atom_site_fract_x
_atom_site_fract_y
_atom_site_fract_z
Pm1 Pm 0.000 0.000 0.084
Nd1 Nd 0.000 0.500 0.250
Sn1 Sn 0.000 0.000 0.500
```

## Properties
- Magnetic moment: 0.000 μB/f.u.
- Energy relative to the elements: 159.1 meV/atom
- Fermi-level density of states: 1.132 states/eV per atom
- Raw total energy: -44.49 eV per cell

=====

Record 6
Crystalline Pm3CuIr8 at its relaxed geometry. Source: Alexandria, functional PBE-GGA.

```
data_Pm3CuIr8
_chemical_formula_sum 'Pm9 Cu3 Ir24'
_symmetry_space_group_name_H-M 'R 3 m'
_symmetry_Int_Tables_number 160
_symmetry_space_group_name_Hall 'R 3 -2"'
_cell_length_a 5.3768
_cell_length_b 5.3768
_cell_length_c 26.2247
_cell_angle_alpha 90.00
_cell_angle_beta 90.00
_cell_angle_gamma 120.00
loop_
_atom_site_label
_atom_site_type_symbol
_atom_site_fract_x
_atom_site_fract_y
_atom_site_fract_z
Pm1 Pm 0.0000 0.0000 0.0000
Pm2 Pm 0.0000 0.0000 0.1291
Pm3 Pm 0.0000 0.0000 0.6155
Cu1 Cu 0.0000 0.0000 0.4849
Ir1 Ir 0.0000 0.0000 0.3125
Ir2 Ir 0.0000 0.0000 0.8130
Ir3 Ir 0.0005 0.5002 0.0632
Ir4 Ir 0.1670 0.3339 0.8946
```

## Properties
- Magnetic moment: 0.001 μB/f.u.
- Energy relative to the elements: -460.4 meV/atom
- Fermi-level density of states: 1.139 states/eV per atom
- Raw total energy: -284.28 eV per cell

=====

Record 7
Crystalline MnIn2OsPd at its relaxed geometry. Source: Alexandria, functional PBE-GGA.

```
data_MnIn2OsPd
_chemical_formula_sum 'Mn1 In2 Os1 Pd1'
_symmetry_space_group_name_H-M 'P 4/m m m'
_symmetry_Int_Tables_number 123
_symmetry_space_group_name_Hall '-P 4 2'
_cell_length_a 4.905
_cell_length_b 4.905
_cell_length_c 4.341
_cell_angle_alpha 90.00
_cell_angle_beta 90.00
_cell_angle_gamma 90.00
loop_
_atom_site_label
_atom_site_type_symbol
_atom_site_fract_x
_atom_site_fract_y
_atom_site_fract_z
Mn1 Mn 0.000 0.000 0.000
In1 In 0.000 0.500 0.000
Os1 Os 0.000 0.000 0.500
Pd1 Pd 0.500 0.500 0.500
```

## Properties
- Magnetic moment: 1.053 μB/f.u.
- Energy relative to the elements: 909.4 meV/atom
- Fermi-level density of states: 0.808 states/eV per atom
- Raw total energy: -26.52 eV per cell

=====

Record 8
Crystalline PmDyTm2Tl4 at its relaxed geometry. Source: Alexandria, functional PBE-GGA.

```
data_PmDyTm2Tl4
_chemical_formula_sum 'Pm3 Dy3 Tm6 Tl12'
_symmetry_space_group_name_H-M 'R -3 m'
_symmetry_Int_Tables_number 166
_symmetry_space_group_name_Hall '-R 3 2"'
_cell_length_a 5.3661
_cell_length_b 5.3661
_cell_length_c 26.3906
_cell_angle_alpha 90.00
_cell_angle_beta 90.00
_cell_angle_gamma 120.00
loop_
_atom_site_label
_atom_site_type_symbol
_atom_site_fract_x
_atom_site_fract_y
_atom_site_fract_z
Pm1 Pm 0.0000 0.0000 0.0000
Dy1 Dy 0.0000 0.0000 0.5000
Tm1 Tm 0.0000 0.0000 0.2495
Tl1 Tl 0.0000 0.0000 0.1261
Tl2 Tl 0.0000 0.0000 0.3762
```

## Properties
- Magnetic moment: 0.000 μB/f.u.
- Energy relative to the elements: -325.6 meV/atom
- Fermi-level density of states: 0.818 states/eV per atom
- Raw total energy: -91.10 eV per cell

=====

Record 9
Crystalline Zr2UH8 at its relaxed geometry. Source: Alexandria, functional PBE-GGA.

```
data_Zr2UH8
_chemical_formula_sum 'Zr4 U2 H16'
_symmetry_space_group_name_H-M 'I m m m'
_symmetry_Int_Tables_number 71
_symmetry_space_group_name_Hall '-I 2 2'
_cell_length_a 3.212
_cell_length_b 5.699
_cell_length_c 9.904
_cell_angle_alpha 90.00
_cell_angle_beta 90.00
_cell_angle_gamma 90.00
loop_
_atom_site_label
_atom_site_type_symbol
_atom_site_fract_x
_atom_site_fract_y
_atom_site_fract_z
Zr1 Zr 0.000 0.000 0.172
U1 U 0.000 0.000 0.500
H1 H 0.000 0.217 0.000
H2 H 0.000 0.265 0.336
H3 H 0.000 0.500 0.168
```

## Properties
- Magnetic moment: 2.773 μB/f.u.
- Fermi-level density of states: 0.479 states/eV per atom
- Raw total energy: -117.93 eV per cell

=====

Record 10
Crystalline Li2SmCu10 at its relaxed geometry. Source: Alexandria, functional PBE-GGA.

```
data_Li2SmCu10
_chemical_formula_sum 'Li8 Sm4 Cu40'
_symmetry_space_group_name_H-M 'F m m m'
_symmetry_Int_Tables_number 69
_symmetry_space_group_name_Hall '-F 2 2'
_cell_length_a 4.782
_cell_length_b 11.999
_cell_length_c 12.357
_cell_angle_alpha 90.00
_cell_angle_beta 90.00
_cell_angle_gamma 90.00
loop_
_atom_site_label
_atom_site_type_symbol
_atom_site_fract_x
_atom_site_fract_y
_atom_site_fract_z
Li1 Li 0.250 0.000 0.250
Sm1 Sm 0.000 0.000 0.000
Cu1 Cu 0.000 0.111 0.386
Cu2 Cu 0.000 0.183 0.176
Cu3 Cu 0.250 0.250 0.000
```

## Properties
- Magnetic moment: 0.000 μB/f.u.
- Energy relative to the elements: -50.0 meV/atom
- Fermi-level density of states: 0.426 states/eV per atom
- Raw total energy: -200.64 eV per cell

=====

Record 11
Crystalline YAl at its relaxed geometry. Source: Alexandria, functional PBE-GGA.

```
data_YAl
_chemical_formula_sum 'Y4 Al4'
_symmetry_space_group_name_H-M 'C m c m'
_symmetry_Int_Tables_number 63
_symmetry_space_group_name_Hall '-C 2c 2'
_cell_length_a 4.422
_cell_length_b 11.149
_cell_length_c 4.143
_cell_angle_alpha 90.00
_cell_angle_beta 90.00
_cell_angle_gamma 90.00
loop_
_atom_site_label
_atom_site_type_symbol
_atom_site_fract_x
_atom_site_fract_y
_atom_site_fract_z
Y1 Y 0.000 0.140 0.250
Al1 Al 0.000 0.427 0.250
```

## Properties
- Magnetic moment: 0.000 μB/f.u.
- Energy relative to the elements: -421.2 meV/atom
- Fermi-level density of states: 0.961 states/eV per atom
- Raw total energy: -44.20 eV per cell

=====

Record 12
Crystalline BeZnSe2 at its relaxed geometry. Source: Alexandria, functional PBE-GGA.

```
data_BeZnSe2
_chemical_formula_sum 'Be2 Zn2 Se4'
_symmetry_space_group_name_H-M 'C m m m'
_symmetry_Int_Tables_number 65
_symmetry_space_group_name_Hall '-C 2 2'
_cell_length_a 5.805
_cell_length_b 6.905
_cell_length_c 3.438
_cell_angle_alpha 90.00
_cell_angle_beta 90.00
_cell_angle_gamma 90.00
loop_
_atom_site_label
_atom_site_type_symbol
_atom_site_fract_x
_atom_site_fract_y
_atom_site_fract_z
Be1 Be 0.000 0.000 0.000
Zn1 Zn 0.000 0.500 0.000
Se1 Se 0.250 0.250 0.500
```

## Properties
- Magnetic moment: 0.000 μB/f.u.
- Energy above the most stable polymorph in this dataset: 1119 meV per atom
- Uncorrected formation energy: 1.49 eV/f.u.
- Fermi-level density of states: 0.471 states/eV per atom
- Raw total energy: -20.95 eV per cell

=====

Record 13
Crystalline Cd2TcSe at its relaxed geometry. Source: Alexandria, functional PBE-GGA.

```
data_Cd2TcSe
_chemical_formula_sum 'Cd4 Tc2 Se2'
_symmetry_space_group_name_H-M 'I -4 m 2'
_symmetry_Int_Tables_number 119
_symmetry_space_group_name_Hall 'I -4 -2'
_cell_length_a 4.216
_cell_length_b 4.216
_cell_length_c 8.874
_cell_angle_alpha 90.00
_cell_angle_beta 90.00
_cell_angle_gamma 90.00
loop_
_atom_site_label
_atom_site_type_symbol
_atom_site_fract_x
_atom_site_fract_y
_atom_site_fract_z
Cd1 Cd 0.000 0.000 0.000
Cd2 Cd 0.000 0.500 0.250
Tc1 Tc 0.000 0.000 0.500
Se1 Se 0.000 0.500 0.750
```

## Properties
- Magnetic moment: 2.653 μB/f.u.
- Uncorrected formation energy: 1.71 eV/f.u.
- Fermi-level density of states: 0.592 states/eV per atom
- Raw total energy: -27.95 eV per cell

=====

Record 14
Crystalline Gd2PaNi at its relaxed geometry. Source: Alexandria, functional PBE-GGA.

```
data_Gd2PaNi
_chemical_formula_sum 'Gd6 Pa3 Ni3'
_symmetry_space_group_name_H-M 'R -3 m'
_symmetry_Int_Tables_number 166
_symmetry_space_group_name_Hall '-R 3 2"'
_cell_length_a 3.3262
_cell_length_b 3.3262
_cell_length_c 31.2327
_cell_angle_alpha 90.00
_cell_angle_beta 90.00
_cell_angle_gamma 120.00
loop_
_atom_site_label
_atom_site_type_symbol
_atom_site_fract_x
_atom_site_fract_y
_atom_site_fract_z
Gd1 Gd 0.0000 0.0000 0.1038
Pa1 Pa 0.0000 0.0000 0.0000
Ni1 Ni 0.0000 0.0000 0.5000
```

## Properties
- Magnetic moment: 14.106 μB/f.u.
- Energy relative to the elements: 250.4 meV/atom
- Fermi-level density of states: 1.260 states/eV per atom
- Raw total energy: -127.31 eV per cell